# 1
Cs3Sr2H7 | GGA-PBE | relaxed

Values from the calculation:
E_tot: -2.796 eV per atom
Density: 3.264 g/cm3
Energy above the lowest structure with this stoichiometry: 0.0 meV/atom

a = 13.130 Å, b = 13.130 Å, c = 13.130 Å
α = 158.81°, β = 158.81°, γ = 30.14°
Fractional coordinates of all 12 atoms:
Cs (0.000, 0.000, 0.000)
Cs (0.187, 0.187, 0.000)
Cs (0.813, 0.813, 0.000)
Sr (0.404, 0.404, 0.000)
Sr (0.596, 0.596, 0.000)
H (0.096, 0.596, 0.500)
H (0.307, 0.307, 0.000)
H (0.404, 0.904, 0.500)
H (0.500, 0.500, 0.000)
H (0.596, 0.096, 0.500)
H (0.693, 0.693, 0.000)
H (0.904, 0.404, 0.500)

=====

# 2
Cs3Sr2H7 | GGA-PBE | relaxed

Values from the calculation:
E_tot: -2.771 eV per atom
Density: 3.301 g/cm3
Energy above the lowest structure with this stoichiometry: 25.3 meV/atom

a = 12.925 Å, b = 12.925 Å, c = 4.716 Å
α = 90.00°, β = 90.00°, γ = 158.22°
Fractional coordinates of all 12 atoms:
Cs (0.000, 0.000, 0.000)
Cs (0.187, 0.813, 0.000)
Cs (0.813, 0.187, 0.000)
Sr (0.403, 0.597, 0.500)
Sr (0.597, 0.403, 0.500)
H (0.095, 0.905, 0.500)
H (0.306, 0.694, 0.500)
H (0.403, 0.597, 0.000)
H (0.500, 0.500, 0.500)
H (0.597, 0.403, 0.000)
H (0.694, 0.306, 0.500)
H (0.905, 0.095, 0.500)

=====

# 3
Cs2SrH | GGA-PBE | relaxed

Values from the calculation:
E_tot: -1.632 eV per atom
Density: 2.773 g/cm3
Energy above the lowest structure with this stoichiometry: 0.0 meV/atom

a = 4.435 Å, b = 4.435 Å, c = 37.374 Å
α = 90.00°, β = 90.00°, γ = 120.00°
Fractional coordinates of all 12 atoms:
Cs (0.000, 0.000, 0.118)
Cs (0.000, 0.000, 0.882)
Cs (0.333, 0.667, 0.549)
Cs (0.333, 0.667, 0.784)
Cs (0.667, 0.333, 0.216)
Cs (0.667, 0.333, 0.451)
Sr (0.000, 0.000, 0.000)
Sr (0.333, 0.667, 0.667)
Sr (0.667, 0.333, 0.333)
H (0.000, 0.000, 0.500)
H (0.333, 0.667, 0.167)
H (0.667, 0.333, 0.833)

=====

# 4
CsSr2H2 | GGA-PBE | relaxed

Values from the calculation:
E_tot: -2.189 eV per atom
Density: 2.708 g/cm3
Energy above the lowest structure with this stoichiometry: 0.0 meV/atom

a = 4.993 Å, b = 4.993 Å, c = 15.255 Å
α = 90.00°, β = 90.00°, γ = 90.00°
Fractional coordinates of all 10 atoms:
Cs (0.000, 0.000, 0.000)
Cs (0.500, 0.500, 0.500)
Sr (0.000, 0.500, 0.250)
Sr (0.000, 0.500, 0.750)
Sr (0.500, 0.000, 0.250)
Sr (0.500, 0.000, 0.750)
H (0.000, 0.000, 0.205)
H (0.000, 0.000, 0.795)
H (0.500, 0.500, 0.295)
H (0.500, 0.500, 0.705)

=====

# 5
CsSr2H2 | GGA-PBE | relaxed

Values from the calculation:
E_tot: -2.150 eV per atom
Density: 2.648 g/cm3
Energy above the lowest structure with this stoichiometry: 38.3 meV/atom

a = 8.998 Å, b = 8.998 Å, c = 4.804 Å
α = 90.00°, β = 90.00°, γ = 90.00°
Fractional coordinates of all 10 atoms:
Cs (0.000, 0.000, 0.000)
Cs (0.500, 0.500, 0.000)
Sr (0.169, 0.331, 0.500)
Sr (0.331, 0.831, 0.500)
Sr (0.669, 0.169, 0.500)
Sr (0.831, 0.669, 0.500)
H (0.206, 0.294, 0.000)
H (0.294, 0.794, 0.000)
H (0.706, 0.206, 0.000)
H (0.794, 0.706, 0.000)

=====

# 6
Cs2SrTcH6 | GGA-PBE | relaxed

Values from the calculation:
E_tot: -3.550 eV per atom
Density: 3.382 g/cm3

a = 6.580 Å, b = 6.580 Å, c = 5.991 Å
α = 90.00°, β = 90.00°, γ = 120.00°
Fractional coordinates of all 10 atoms:
Cs (0.333, 0.667, 0.141)
Cs (0.667, 0.333, 0.859)
Sr (0.000, 0.000, 0.500)
Tc (0.000, 0.000, 0.000)
H (0.131, 0.262, 0.825)
H (0.131, 0.869, 0.825)
H (0.262, 0.131, 0.175)
H (0.738, 0.869, 0.825)
H (0.869, 0.131, 0.175)
H (0.869, 0.738, 0.175)

=====

# 7
CsSr2VH | GGA-PBE | relaxed

Values from the calculation:
E_tot: -2.018 eV per atom
Density: 2.005 g/cm3

a = 6.460 Å, b = 6.460 Å, c = 7.145 Å
α = 90.00°, β = 90.00°, γ = 90.00°
Fractional coordinates of all 5 atoms:
Cs (0.000, 0.000, 0.000)
Sr (0.000, 0.500, 0.500)
Sr (0.500, 0.000, 0.500)
V (0.000, 0.000, 0.500)
H (0.500, 0.500, 0.000)

=====

# 8
CsTa2H | GGA-PBE | relaxed

Values from the calculation:
E_tot: -4.445 eV per atom
Density: 11.318 g/cm3
Energy above the lowest structure with this stoichiometry: 1341.4 meV/atom

a = 6.627 Å, b = 6.627 Å, c = 6.627 Å
α = 90.00°, β = 90.00°, γ = 90.00°
Fractional coordinates of all 16 atoms:
Cs (0.000, 0.000, 0.000)
Cs (0.000, 0.500, 0.500)
Cs (0.500, 0.000, 0.500)
Cs (0.500, 0.500, 0.000)
Ta (0.250, 0.250, 0.250)
Ta (0.250, 0.250, 0.750)
Ta (0.250, 0.750, 0.250)
Ta (0.250, 0.750, 0.750)
Ta (0.750, 0.250, 0.250)
Ta (0.750, 0.250, 0.750)
Ta (0.750, 0.750, 0.250)
Ta (0.750, 0.750, 0.750)
H (0.000, 0.000, 0.500)
H (0.000, 0.500, 0.000)
H (0.500, 0.000, 0.000)
H (0.500, 0.500, 0.500)

=====

# 9
CsTa2H | GGA-PBE | relaxed

Values from the calculation:
E_tot: -5.786 eV per atom
Density: 9.763 g/cm3
Energy above the lowest structure with this stoichiometry: 0.0 meV/atom

a = 6.210 Å, b = 6.210 Å, c = 8.746 Å
α = 90.00°, β = 90.00°, γ = 90.00°
Fractional coordinates of all 16 atoms:
Cs (0.000, 0.250, 0.375)
Cs (0.000, 0.750, 0.625)
Cs (0.500, 0.250, 0.125)
Cs (0.500, 0.750, 0.875)
Ta (0.000, 0.000, 0.000)
Ta (0.000, 0.500, 0.000)
Ta (0.250, 0.250, 0.750)
Ta (0.250, 0.750, 0.250)
Ta (0.500, 0.000, 0.500)
Ta (0.500, 0.500, 0.500)
Ta (0.750, 0.250, 0.750)
Ta (0.750, 0.750, 0.250)
H (0.000, 0.250, 0.875)
H (0.000, 0.750, 0.125)
H (0.500, 0.250, 0.625)
H (0.500, 0.750, 0.375)

=====

# 10
CsTa2TeH | GGA-PBE | relaxed

Values from the calculation:
E_tot: -3.900 eV per atom
Density: 9.993 g/cm3

a = 5.356 Å, b = 5.356 Å, c = 3.612 Å
α = 90.00°, β = 90.00°, γ = 90.00°
Fractional coordinates of all 5 atoms:
Cs (0.000, 0.000, 0.000)
Ta (0.000, 0.500, 0.000)
Ta (0.500, 0.000, 0.000)
Te (0.500, 0.500, 0.500)
H (0.000, 0.000, 0.500)

=====

# 11
CsTbH | GGA-PBE | relaxed

Values from the calculation:
E_tot: -2.719 eV per atom
Density: 5.459 g/cm3

a = 14.723 Å, b = 3.737 Å, c = 6.476 Å
α = 90.00°, β = 90.00°, γ = 90.00°
Fractional coordinates of all 12 atoms:
Cs (0.135, 0.000, 0.000)
Cs (0.135, 0.500, 0.500)
Cs (0.865, 0.000, 0.000)
Cs (0.865, 0.500, 0.500)
Tb (0.396, 0.000, 0.328)
Tb (0.396, 0.500, 0.828)
Tb (0.604, 0.000, 0.328)
Tb (0.604, 0.500, 0.828)
H (0.000, 0.000, 0.333)
H (0.000, 0.500, 0.833)
H (0.500, 0.000, 0.994)
H (0.500, 0.500, 0.494)

=====

# 12
Cs2TcH4 | GGA-PBE | relaxed

Values from the calculation:
E_tot: -3.512 eV per atom
Density: 4.993 g/cm3

a = 3.849 Å, b = 3.849 Å, c = 16.511 Å
α = 90.00°, β = 90.00°, γ = 90.00°
Fractional coordinates of all 14 atoms:
Cs (0.000, 0.000, 0.149)
Cs (0.000, 0.000, 0.851)
Cs (0.500, 0.500, 0.351)
Cs (0.500, 0.500, 0.649)
Tc (0.000, 0.000, 0.500)
Tc (0.500, 0.500, 0.000)
H (0.000, 0.000, 0.392)
H (0.000, 0.000, 0.608)
H (0.000, 0.500, 0.000)
H (0.000, 0.500, 0.500)
H (0.500, 0.000, 0.000)
H (0.500, 0.000, 0.500)
H (0.500, 0.500, 0.108)
H (0.500, 0.500, 0.892)

=====

# 13
CsTc2H | GGA-PBE | relaxed

Values from the calculation:
E_tot: -4.992 eV per atom
Density: 7.240 g/cm3
Energy above the lowest structure with this stoichiometry: 0.0 meV/atom

a = 5.976 Å, b = 5.976 Å, c = 8.474 Å
α = 90.00°, β = 90.00°, γ = 90.00°
Fractional coordinates of all 16 atoms:
Cs (0.000, 0.250, 0.375)
Cs (0.000, 0.750, 0.625)
Cs (0.500, 0.250, 0.125)
Cs (0.500, 0.750, 0.875)
Tc (0.000, 0.000, 0.000)
Tc (0.000, 0.500, 0.000)
Tc (0.250, 0.250, 0.750)
Tc (0.250, 0.750, 0.250)
Tc (0.500, 0.000, 0.500)
Tc (0.500, 0.500, 0.500)
Tc (0.750, 0.250, 0.750)
Tc (0.750, 0.750, 0.250)
H (0.000, 0.250, 0.875)
H (0.000, 0.750, 0.125)
H (0.500, 0.250, 0.625)
H (0.500, 0.750, 0.375)

=====

# 14
CsTcH3 | GGA-PBE | relaxed

Values from the calculation:
E_tot: -3.753 eV per atom
Density: 5.830 g/cm3

a = 4.054 Å, b = 4.054 Å, c = 4.054 Å
α = 90.00°, β = 90.00°, γ = 90.00°
Fractional coordinates of all 5 atoms:
Cs (0.000, 0.000, 0.000)
Tc (0.500, 0.500, 0.500)
H (0.000, 0.500, 0.500)
H (0.500, 0.000, 0.500)
H (0.500, 0.500, 0.000)

=====

# 15
Cs3TcH6 | GGA-PBE | relaxed

Values from the calculation:
E_tot: -3.365 eV per atom
Density: 4.151 g/cm3

a = 6.559 Å, b = 6.559 Å, c = 6.581 Å
α = 119.78°, β = 119.78°, γ = 60.14°
Fractional coordinates of all 10 atoms:
Cs (0.000, 0.000, 0.000)
Cs (0.250, 0.250, 0.750)
Cs (0.750, 0.750, 0.250)
Tc (0.500, 0.500, 0.500)
H (0.305, 0.690, 0.305)
H (0.307, 0.307, 0.305)
H (0.310, 0.695, 0.695)
H (0.690, 0.305, 0.305)
H (0.693, 0.693, 0.695)
H (0.695, 0.310, 0.695)

=====

# 16
CsTc2H | GGA-PBE | relaxed

Values from the calculation:
E_tot: -3.850 eV per atom
Density: 8.792 g/cm3
Energy above the lowest structure with this stoichiometry: 1142.9 meV/atom

a = 6.293 Å, b = 6.293 Å, c = 6.293 Å
α = 90.00°, β = 90.00°, γ = 90.00°
Fractional coordinates of all 16 atoms:
Cs (0.000, 0.000, 0.000)
Cs (0.000, 0.500, 0.500)
Cs (0.500, 0.000, 0.500)
Cs (0.500, 0.500, 0.000)
Tc (0.250, 0.250, 0.250)
Tc (0.250, 0.250, 0.750)
Tc (0.250, 0.750, 0.250)
Tc (0.250, 0.750, 0.750)
Tc (0.750, 0.250, 0.250)
Tc (0.750, 0.250, 0.750)
Tc (0.750, 0.750, 0.250)
Tc (0.750, 0.750, 0.750)
H (0.000, 0.000, 0.500)
H (0.000, 0.500, 0.000)
H (0.500, 0.000, 0.000)
H (0.500, 0.500, 0.500)

=====

# 17
CsZnTcH6 | GGA-PBE | relaxed

Values from the calculation:
E_tot: -3.660 eV per atom
Density: 4.214 g/cm3

a = 4.451 Å, b = 6.400 Å, c = 4.465 Å
α = 90.00°, β = 110.48°, γ = 90.00°
Fractional coordinates of all 9 atoms:
Cs (0.000, 0.000, 0.000)
Zn (0.328, 0.500, 0.673)
Tc (0.707, 0.500, 0.293)
H (0.484, 0.312, 0.018)
H (0.484, 0.688, 0.018)
H (0.546, 0.325, 0.464)
H (0.546, 0.675, 0.464)
H (0.983, 0.313, 0.515)
H (0.983, 0.687, 0.515)

=====

# 18
Cs3TeH | GGA-PBE | relaxed

Values from the calculation:
E_tot: -2.410 eV per atom
Density: 3.327 g/cm3
Energy above the lowest structure with this stoichiometry: 83.3 meV/atom

a = 9.295 Å, b = 9.295 Å, c = 9.295 Å
α = 56.83°, β = 56.83°, γ = 56.83°
Fractional coordinates of all 10 atoms:
Cs (0.024, 0.451, 0.791)
Cs (0.209, 0.976, 0.549)
Cs (0.451, 0.791, 0.024)
Cs (0.549, 0.209, 0.976)
Cs (0.791, 0.024, 0.451)
Cs (0.976, 0.549, 0.209)
Te (0.365, 0.365, 0.365)
Te (0.635, 0.635, 0.635)
H (0.154, 0.154, 0.154)
H (0.846, 0.846, 0.846)

=====

# 19
Cs2TeH6 | GGA-PBE | relaxed

Values from the calculation:
E_tot: -2.817 eV per atom
Density: 2.222 g/cm3

a = 6.630 Å, b = 6.630 Å, c = 7.844 Å
α = 90.00°, β = 90.00°, γ = 120.00°
Fractional coordinates of all 9 atoms:
Cs (0.333, 0.667, 0.000)
Cs (0.667, 0.333, 0.000)
Te (0.000, 0.000, 0.000)
H (0.000, 0.150, 0.500)
H (0.000, 0.850, 0.500)
H (0.150, 0.000, 0.500)
H (0.150, 0.150, 0.500)
H (0.850, 0.000, 0.500)
H (0.850, 0.850, 0.500)

=====

# 20
Cs3TeH | GGA-PBE | relaxed

Values from the calculation:
E_tot: -2.095 eV per atom
Density: 2.536 g/cm3
Energy above the lowest structure with this stoichiometry: 398.9 meV/atom

a = 13.980 Å, b = 13.980 Å, c = 13.980 Å
α = 149.78°, β = 149.78°, γ = 43.27°
Fractional coordinates of all 10 atoms:
Cs (0.210, 0.210, 0.000)
Cs (0.368, 0.616, 0.752)
Cs (0.384, 0.137, 0.752)
Cs (0.384, 0.632, 0.248)
Cs (0.790, 0.790, 0.000)
Cs (0.863, 0.616, 0.248)
Te (0.250, 0.750, 0.500)
Te (0.500, 0.500, 0.000)
H (0.659, 0.159, 0.500)
H (0.841, 0.341, 0.500)